# 1
The following is a DFT calculation (PBE-GGA) of a geometry-optimized Pm2TiTlO6 structure.

Cell: 5.4027 5.4699 5.4699 Å, 90.00 90.00 90.00°
Fractional positions:
O 0.7456 0.7694 0.2306
O 0.7456 0.2306 0.7694
Tl 0.5240 0.5000 0.5000
O 0.2669 0.0000 0.0000
O 0.7456 0.7694 0.7694
Pm 0.9799 0.5000 0.0000
Ti 0.6049 0.0000 0.0000
Pm 0.9799 0.0000 0.5000
O 0.7456 0.2306 0.2306
O 0.1090 0.5000 0.5000

Formation energy without anion corrections (eV/atom): -2.549

---

# 2
The following is a DFT calculation (PBE-GGA) of a geometry-optimized Pm3TiTl3O8 structure.

Cell: 6.9691 6.9691 7.6750 Å, 117.02 90.00 120.00°
Fractional positions:
O 0.7254 0.4508 0.6762
Pm 0.5000 0.0000 0.5000
O 0.2746 0.5492 0.3238
O 0.1999 0.3998 0.6627
Ti 0.0000 0.0000 0.5000
O 0.7630 0.9629 0.6627
O 0.2370 0.0371 0.3373
Tl 0.0000 0.0000 0.0000
Tl 0.5000 0.5000 0.0000
Pm 0.0000 0.5000 0.5000
O 0.1999 0.9629 0.6627
Pm 0.5000 0.5000 0.5000
O 0.8001 0.6002 0.3373
O 0.8001 0.0371 0.3373
Tl 0.0000 0.5000 0.0000

Formation energy without anion corrections (eV/atom): -2.375

---

# 3
The following is a DFT calculation (PBE-GGA) of a geometry-optimized PmUTiO6 structure.

Cell: 5.4822 5.4822 9.8947 Å, 90.00 90.00 120.00°
Each line ends with the local moment (μB).
Fractional positions:
O 0.9786 0.3471 0.6404  -0.02
O 0.6315 0.6529 0.1404  -0.02
O 0.3685 0.3471 0.8596  -0.02
O 0.0214 0.3685 0.1404  -0.02
O 0.6529 0.6315 0.6404  -0.02
Pm 0.0000 0.0000 0.5000  0.00
Pm 0.0000 0.0000 0.0000  0.00
Ti 0.3333 0.6667 0.2500  0.05
O 0.6315 0.9786 0.3596  -0.02
U 0.3333 0.6667 0.7500  1.07
O 0.3471 0.9786 0.1404  -0.02
O 0.3471 0.3685 0.3596  -0.02
Ti 0.6667 0.3333 0.7500  0.05
O 0.0214 0.6529 0.3596  -0.02
O 0.6529 0.0214 0.8596  -0.02
O 0.9786 0.6315 0.8596  -0.02
O 0.3685 0.0214 0.6404  -0.02
U 0.6667 0.3333 0.2500  1.07

Formation energy without anion corrections (eV/atom): -3.234